HoErNb2Ge2 | PBE | optimized geometry

Summary:
The total energy comes out at -7.073 eV/atom. As for the density: 8.7 g cm⁻³.

a = 4.0172 Å, b = 4.0172 Å, c = 7.8070 Å
α = 90.00°, β = 90.00°, γ = 90.00°
Last column: nearest neighbours and their distance in Å.
Space group P4mm (No. 99)
Asymmetric unit:
1 Ho 0.0000 0.0000 0.0000  5 Ge 2.96-3.12
2 Er 0.5000 0.5000 0.2953  5 Ge 2.96-3.13
3 Nb 0.0000 0.5000 0.6476  4 Ge 2.79, 4 Nb 2.84
4 Ge 0.0000 0.0000 0.4001  4 Nb 2.79, 4 Er 2.96
5 Ge 0.5000 0.5000 0.8950  4 Nb 2.79, 4 Ho 2.96